A plane-wave DFT calculation with PBE with a Hubbard U was carried out for an optimized crystal structure of FeSi3O.

Structure (CIF):
```
data_FeSi3O
_chemical_formula_sum 'Fe1 Si3 O1'
_space_group_name_H-M_alt 'P 1'
_space_group_IT_number 1
_space_group_name_Hall 'P 1'
_cell_length_a 4.1135
_cell_length_b 4.1135
_cell_length_c 4.1135
_cell_angle_alpha 90.00
_cell_angle_beta 90.00
_cell_angle_gamma 90.00
loop_
_atom_site_label
_atom_site_type_symbol
_atom_site_fract_x
_atom_site_fract_y
_atom_site_fract_z
_atom_site_occupancy
Fe1 Fe 0.0000 0.0000 0.0000 1
Si1 Si 0.0000 0.5000 0.5000 1
Si2 Si 0.5000 0.0000 0.5000 1
Si3 Si 0.5000 0.5000 0.0000 1
O1 O 0.5000 0.5000 0.5000 1
```

Results
As for the relative energy among the computed polymorphs: 0.0 meV/atom. The density of states at the Fermi level is 2.468 states/eV/cell.